The following is a DFT calculation (GGA-PBE) of a relaxed structure of TcSb2RuC.

Geometry as CIF:
```
data_TcSb2RuC
_chemical_formula_sum 'Tc1 Sb2 Ru1 C1'
_cell_length_a 5.070
_cell_length_b 5.070
_cell_length_c 4.664
_cell_angle_alpha 90.00
_cell_angle_beta 90.00
_cell_angle_gamma 90.00
_space_group_name_H-M_alt 'P 4/m m m'
_space_group_IT_number 123
_space_group_name_Hall '-P 4 2'
loop_
_atom_site_label
_atom_site_type_symbol
_atom_site_fract_x
_atom_site_fract_y
_atom_site_fract_z
Tc1 Tc 0.000 0.000 0.000
Sb1 Sb 0.000 0.500 0.000
Ru1 Ru 0.000 0.000 0.500
C1 C 0.500 0.500 0.500
```

Output
The calculation puts the uncorrected formation energy at 206 kJ/mol of atoms.

The following is a DFT calculation (GGA-PBE) of a relaxed structure of SiB2As.

Geometry as CIF:
```
data_SiB2As
_chemical_formula_sum 'Si4 B8 As4'
_cell_length_a 4.789
_cell_length_b 4.789
_cell_length_c 9.400
_cell_angle_alpha 90.00
_cell_angle_beta 90.00
_cell_angle_gamma 90.00
_space_group_name_H-M_alt 'I -4 2 d'
_space_group_IT_number 122
_space_group_name_Hall 'I -4 2bw'
loop_
_atom_site_label
_atom_site_type_symbol
_atom_site_fract_x
_atom_site_fract_y
_atom_site_fract_z
Si1 Si 0.000 0.000 0.000
B1 B 0.245 0.250 0.125
As1 As 0.000 0.000 0.500
```

Output
The value obtained for the excess energy over the best structure of this formula in the dataset is 0.000 eV per atom. The calculation puts the uncorrected formation energy at 17 kJ/mol of atoms.

The following is a DFT calculation (GGA-PBE) of a relaxed structure of LiLa2W.

Geometry as CIF:
```
data_LiLa2W
_chemical_formula_sum 'Li3 La6 W3'
_cell_length_a 3.5116
_cell_length_b 3.5116
_cell_length_c 31.3967
_cell_angle_alpha 90.00
_cell_angle_beta 90.00
_cell_angle_gamma 120.00
_space_group_name_H-M_alt 'R -3 m'
_space_group_IT_number 166
_space_group_name_Hall '-R 3 2"'
loop_
_atom_site_label
_atom_site_type_symbol
_atom_site_fract_x
_atom_site_fract_y
_atom_site_fract_z
Li1 Li 0.0000 0.0000 0.0000
La1 La 0.0000 0.0000 0.2367
W1 W 0.0000 0.0000 0.5000
```

Output
The value obtained for the excess energy over the best structure of this formula in the dataset is 0.179 eV per atom. The calculation puts the formation energy at 0.590 eV per atom.

The following is a DFT calculation (GGA-PBE) of a relaxed structure of Nd4Si2Cl.

Geometry as CIF:
```
data_Nd4Si2Cl
_chemical_formula_sum 'Nd16 Si8 Cl4'
_cell_length_a 8.890
_cell_length_b 8.890
_cell_length_c 9.297
_cell_angle_alpha 90.00
_cell_angle_beta 90.00
_cell_angle_gamma 90.00
_space_group_name_H-M_alt 'I -4 2 d'
_space_group_IT_number 122
_space_group_name_Hall 'I -4 2bw'
loop_
_atom_site_label
_atom_site_type_symbol
_atom_site_fract_x
_atom_site_fract_y
_atom_site_fract_z
Nd1 Nd 0.074 0.189 0.319
Si1 Si 0.123 0.250 0.625
Cl1 Cl 0.000 0.000 0.000
```

Output
The calculation puts the uncorrected formation energy at -82 kJ/mol of atoms.

The following is a DFT calculation (GGA-PBE) of a relaxed structure of Ac2PrSe4.

Geometry as CIF:
```
data_Ac2PrSe4
_chemical_formula_sum 'Ac4 Pr2 Se8'
_cell_length_a 14.645
_cell_length_b 4.162
_cell_length_c 8.909
_cell_angle_alpha 90.00
_cell_angle_beta 123.36
_cell_angle_gamma 90.00
_space_group_name_H-M_alt 'C 1 2/m 1'
_space_group_IT_number 12
_space_group_name_Hall '-C 2y'
loop_
_atom_site_label
_atom_site_type_symbol
_atom_site_fract_x
_atom_site_fract_y
_atom_site_fract_z
Ac1 Ac 0.144 0.000 0.206
Pr1 Pr 0.000 0.500 0.500
Se1 Se 0.055 0.500 0.874
Se2 Se 0.170 0.000 0.586
```

Output
The value obtained for the excess energy over the best structure of this formula in the dataset is 0.000 eV per atom. The calculation puts the uncorrected formation energy at -183 kJ/mol of atoms.

The following is a DFT calculation (GGA-PBE) of a relaxed structure of CdInCuF6.

Geometry as CIF:
```
data_CdInCuF6
_chemical_formula_sum 'Cd2 In2 Cu2 F12'
_cell_length_a 5.6029
_cell_length_b 5.6029
_cell_length_c 9.7224
_cell_angle_alpha 90.00
_cell_angle_beta 90.00
_cell_angle_gamma 120.00
_space_group_name_H-M_alt 'P -3 1 c'
_space_group_IT_number 163
_space_group_name_Hall '-P 3 2c'
loop_
_atom_site_label
_atom_site_type_symbol
_atom_site_fract_x
_atom_site_fract_y
_atom_site_fract_z
Cd1 Cd 0.0000 0.0000 0.0000
In1 In 0.3333 0.6667 0.2500
Cu1 Cu 0.3333 0.6667 0.7500
F1 F 0.0121 0.3471 0.1321
```

Output
The calculation puts the uncorrected formation energy at -196 kJ/mol of atoms.

The following is a DFT calculation (GGA-PBE) of a relaxed structure of Rb.

Geometry as CIF:
```
data_Rb
_chemical_formula_sum 'Rb2'
_cell_length_a 5.044
_cell_length_b 5.044
_cell_length_c 7.012
_cell_angle_alpha 90.00
_cell_angle_beta 90.00
_cell_angle_gamma 90.00
_space_group_name_H-M_alt 'I 4/m m m'
_space_group_IT_number 139
_space_group_name_Hall '-I 4 2'
loop_
_atom_site_label
_atom_site_type_symbol
_atom_site_fract_x
_atom_site_fract_y
_atom_site_fract_z
Rb1 Rb 0.000 0.000 0.000
```

Output
The value obtained for the excess energy over the best structure of this formula in the dataset is 0.005 eV per atom. The calculation puts the formation energy at 0.005 eV per atom.

The following is a DFT calculation (GGA-PBE) of a relaxed structure of SrCaF4.

Geometry as CIF:
```
data_SrCaF4
_chemical_formula_sum 'Sr3 Ca3 F12'
_cell_length_a 4.0291
_cell_length_b 4.0291
_cell_length_c 19.6320
_cell_angle_alpha 90.00
_cell_angle_beta 90.00
_cell_angle_gamma 120.00
_space_group_name_H-M_alt 'R -3 m'
_space_group_IT_number 166
_space_group_name_Hall '-R 3 2"'
loop_
_atom_site_label
_atom_site_type_symbol
_atom_site_fract_x
_atom_site_fract_y
_atom_site_fract_z
Sr1 Sr 0.0000 0.0000 0.0000
Ca1 Ca 0.0000 0.0000 0.5000
F1 F 0.0000 0.0000 0.1292
F2 F 0.0000 0.0000 0.3793
```

Output
The calculation puts the uncorrected formation energy at -380 kJ/mol of atoms.